Compound: Er4NpBi5
Source: Alexandria via LeMat-Bulk
Functional: GGA-PBE
Structure: relaxed

```
Er4NpBi5
1.0
-4.990 4.990 3.160
4.990 -4.990 3.160
4.990 4.990 -3.160
Er Np Bi
4 1 5
direct
0.101 0.700 0.801
0.300 0.101 0.402
0.700 0.899 0.598
0.899 0.300 0.199
0.500 0.500 0.000
0.000 0.000 0.000
0.198 0.400 0.598
0.400 0.802 0.202
0.600 0.198 0.798
0.802 0.600 0.402
```

Properties
Calculated density, g/cm³: 10.3
Energy relative to the elements, meV per atom: -618

---

Compound: MnOsSN2
Source: Alexandria via LeMat-Bulk
Functional: GGA-PBE
Structure: relaxed

```
MnOsSN2
1.0
3.772 0.000 0.000
0.000 3.772 0.000
0.000 0.000 5.202
Mn Os S N
1 1 1 2
direct
0.000 0.000 0.000
0.500 0.500 0.500
0.500 0.500 0.000
0.000 0.500 0.500
0.500 0.000 0.500
```

Properties
E_form (uncorrected), meV/atom: 543
Calculated density, g/cm³: 6.8
Energy relative to the lowest polymorph listed for this composition, eV per atom: 0.0000

---

Compound: FeMoW2
Source: Alexandria via LeMat-Bulk
Functional: GGA-PBE
Structure: relaxed

```
FeMoW2
1.0
0.000 3.114 3.114
3.114 0.000 3.114
3.114 3.114 0.000
Fe Mo W
1 1 2
direct
0.000 0.000 0.000
0.250 0.250 0.250
0.500 0.500 0.500
0.750 0.750 0.750
```

Properties
Calculated density, g/cm³: 14.3
Energy relative to the lowest polymorph listed for this composition, eV per atom: 0.0844
Energy relative to the elements, meV per atom: 155

---

Compound: Co2CuNi
Source: Alexandria via LeMat-Bulk
Functional: GGA-PBE
Structure: relaxed

```
Co2CuNi
1.0
1.248 0.721 8.226
-1.248 0.721 8.226
0.000 -1.441 8.226
Co Cu Ni
2 1 1
direct
0.000 0.000 0.000
0.254 0.254 0.254
0.501 0.501 0.501
0.749 0.749 0.749
```

Properties
Calculated density, g/cm³: 9.0
Energy relative to the lowest polymorph listed for this composition, eV per atom: 0.0000
Energy relative to the elements, meV per atom: 20

---

Here are the calculated E numbers, same order: -5.677 -7.693 -11.145 -6.002 (eV per atom).
Here are the calculated density of states at the Fermi level numbers, same order: 1.1280 0.4349 0.8820 0.8797 (states/eV per atom).